The following is a PBE calculation of a relaxed structure of BaSrRh2, from Alexandria via LeMat-Bulk.

Cell: 8.9971 8.9971 8.9971 Å, 24.05 24.05 24.05°
Closest atoms and distances in Å follow each position.
Fractional positions:
Rh1 0.5005 0.5005 0.5005  3 Sr 3.07, 3 Ba 3.08
Rh2 0.9995 0.9995 0.9995  3 Sr 3.07, 3 Ba 3.08
Ba1 0.7500 0.7500 0.7500  6 Rh 3.08
Sr1 0.2500 0.2500 0.2500  6 Rh 3.07

Computed properties:
- relative energy among the computed polymorphs (meV per atom) = 435


The following is a PBE calculation of a relaxed structure of Sr2Zn2Ag7, from Alexandria via LeMat-Bulk.

Cell: 4.6116 10.1394 10.1394 Å, 55.79 132.51 132.51°
Closest atoms and distances in Å follow each position.
Fractional positions:
Ag1 0.6209 0.8896 0.5240  1 Zn 2.64, 4 Ag 2.81-2.94
Ag2 0.3791 0.4760 0.1104  1 Zn 2.64, 4 Ag 2.81-2.94
Ag3 0.2495 0.7492 0.7492  2 Zn 2.74-2.77, 7 Ag 2.90-3.05
Ag4 0.7505 0.2508 0.2508  2 Zn 2.74-2.77, 7 Ag 2.90-3.05
Ag5 0.6209 0.5240 0.8896  1 Zn 2.64, 4 Ag 2.81-2.94
Ag6 0.0000 0.0000 0.0000  4 Zn 2.68-2.70, 2 Ag 2.90
Ag7 0.3791 0.1104 0.4760  1 Zn 2.64, 4 Ag 2.81-2.94
Sr1 0.5000 0.3008 0.6992  2 Zn 3.17, 6 Ag 3.30-3.44
Sr2 0.5000 0.6992 0.3008  2 Zn 3.17, 6 Ag 3.30-3.44
Zn1 0.1401 0.8796 0.8796  6 Ag 2.64-2.77, 1 Zn 2.78
Zn2 0.8599 0.1204 0.1204  6 Ag 2.64-2.77, 1 Zn 2.78


Number 1: E_form 0.2510 eV per atom, density of states at the Fermi level 3.46 states/eV/f.u.. Number 2: E_form -0.0602 eV per atom, density of states at the Fermi level 3.29 states/eV/f.u..